Cs2ScBrCl6 | GGA-PBE | relaxed

Unit cell a=7.7977 b=7.7977 c=7.7977 alpha=114.58 beta=114.58 gamma=99.68
Fractional positions:
1 Cs 0.2500 0.7500 0.5000
2 Cs 0.7500 0.2500 0.5000
3 Sc 0.0000 0.0000 0.0000
4 Br 0.5000 0.5000 0.0000
5 Cl 0.2055 0.2055 0.4110
6 Cl 0.2055 0.7945 0.0000
7 Cl 0.2626 0.2626 0.0000
8 Cl 0.7374 0.7374 0.0000
9 Cl 0.7945 0.2055 0.0000
10 Cl 0.7945 0.7945 0.5890

Values from the calculation:
Symmetry ... I4/mmm, No. 139
Formation energy (no corrections) ... -1560 kJ/mol of formula units

***

AlTe2Os | GGA-PBE | relaxed

Unit cell a=5.8332 b=5.8332 c=4.0611 alpha=90.00 beta=90.00 gamma=130.34
Fractional positions:
1 Al 0.0000 0.0000 0.0000
2 Te 0.3397 0.6603 0.5000
3 Te 0.6603 0.3397 0.5000
4 Os 0.5000 0.5000 0.0000

Values from the calculation:
Symmetry ... Cmmm, No. 65
Formation energy (no corrections) ... 37 kJ/mol of formula units

***

Dy3YO | GGA-PBE | relaxed

Unit cell a=4.9415 b=4.9415 c=4.9415 alpha=90.00 beta=90.00 gamma=90.00
Fractional positions:
1 Dy 0.0000 0.0000 0.5000
2 Dy 0.0000 0.5000 0.0000
3 Dy 0.5000 0.0000 0.0000
4 Y 0.5000 0.5000 0.5000
5 O 0.0000 0.0000 0.0000

Values from the calculation:
Symmetry ... Pm-3m, No. 221
Formation energy (no corrections) ... -533 kJ/mol of formula units

***

SrTl2Au | GGA-PBE | relaxed

Unit cell a=6.1882 b=6.1882 c=5.5298 alpha=116.32 beta=116.32 gamma=38.22
Fractional positions:
1 Sr 0.0000 0.0000 0.0000
2 Tl 0.2157 0.2157 0.7151
3 Tl 0.7843 0.7843 0.2849
4 Au 0.5000 0.5000 0.5000

Values from the calculation:
Symmetry ... C2/m, No. 12
ΔH_f (0 K) ... -0.339 eV per atom

***

Na2TcGeO6 | GGA-PBE | relaxed

Unit cell a=5.1161 b=5.1161 c=4.9938 alpha=90.00 beta=90.00 gamma=90.00
Fractional positions:
1 Na 0.0000 0.5000 0.0000
2 Na 0.5000 0.0000 0.0000
3 Tc 0.0000 0.0000 0.5504
4 Ge 0.5000 0.5000 0.5286
5 O 0.0000 0.0000 0.1992
6 O 0.2516 0.2516 0.6580
7 O 0.2516 0.7484 0.6580
8 O 0.5000 0.5000 0.1834
9 O 0.7484 0.2516 0.6580
10 O 0.7484 0.7484 0.6580

Values from the calculation:
Symmetry ... P4mm, No. 99
Formation energy (no corrections) ... -1417 kJ/mol of formula units

***

ErCuSb | GGA-PBE | relaxed

Unit cell a=3.9304 b=4.1513 c=8.4688 alpha=90.00 beta=103.31 gamma=90.00
Fractional positions:
1 Er 0.1038 0.2500 0.2065
2 Er 0.8962 0.7500 0.7935
3 Cu 0.4646 0.2500 0.9264
4 Cu 0.5354 0.7500 0.0736
5 Sb 0.3055 0.2500 0.6130
6 Sb 0.6945 0.7500 0.3870

Values from the calculation:
Symmetry ... P2_1/m, No. 11
Formation energy (no corrections) ... -128 kJ/mol of formula units

***

ZrPAu3 | GGA-PBE | relaxed

Unit cell a=5.2814 b=5.2814 c=5.2814 alpha=90.00 beta=90.00 gamma=90.00
Fractional positions:
1 Zr 0.0000 0.0000 0.0000
2 P 0.5000 0.5000 0.5000
3 Au 0.0000 0.0000 0.5000
4 Au 0.0000 0.5000 0.0000
5 Au 0.5000 0.0000 0.0000

Values from the calculation:
Symmetry ... Pm-3m, No. 221
Distance to the lowest polymorph of the same formula ... 938.5 meV per atom
ΔH_f (0 K) ... 1.174 eV per atom

***

Pa2Fe3Ge2 | GGA-PBE | relaxed

Unit cell a=6.2235 b=6.2235 c=4.8665 alpha=93.79 beta=93.79 gamma=39.45
Fractional positions:
1 Pa 0.1424 0.1424 0.3791
2 Pa 0.8576 0.8576 0.6209
3 Fe 0.0000 0.0000 0.0000
4 Fe 0.2094 0.2094 0.8184
5 Fe 0.7906 0.7906 0.1816
6 Ge 0.3956 0.3956 0.1178
7 Ge 0.6044 0.6044 0.8822

Values from the calculation:
Symmetry ... C2/m, No. 12
ΔH_f (0 K) ... -0.412 eV per atom

***

ScOs | GGA-PBE | relaxed

Unit cell a=3.0018 b=3.0018 c=9.2589 alpha=90.00 beta=90.00 gamma=120.00
Fractional positions:
1 Sc 0.3333 0.6667 0.3399
2 Sc 0.6667 0.3333 0.6601
3 Os 0.3333 0.6667 0.8886
4 Os 0.6667 0.3333 0.1114

Values from the calculation:
Symmetry ... P-3m1, No. 164
ΔH_f (0 K) ... 0.198 eV per atom

***

TaFeOs2 | GGA-PBE | relaxed

Unit cell a=3.1819 b=3.1819 c=5.8075 alpha=90.00 beta=90.00 gamma=90.00
Fractional positions:
1 Ta 0.0000 0.0000 0.0000
2 Fe 0.5000 0.5000 0.2577
3 Os 0.0000 0.0000 0.4518
4 Os 0.5000 0.5000 0.7397

Values from the calculation:
Symmetry ... P4mm, No. 99
ΔH_f (0 K) ... 0.126 eV per atom

***

HfSn2Bi | GGA-PBE | relaxed

Unit cell a=11.4066 b=11.4066 c=11.4066 alpha=16.76 beta=16.76 gamma=16.76
Fractional positions:
1 Hf 0.0000 0.0000 0.0000
2 Sn 0.4056 0.4056 0.4056
3 Sn 0.5944 0.5944 0.5944
4 Bi 0.5000 0.5000 0.5000

Values from the calculation:
Symmetry ... R-3m, No. 166
ΔH_f (0 K) ... -0.046 eV per atom

***

TbZn4Ru | GGA-PBE | relaxed

Unit cell a=5.1335 b=5.1335 c=5.1335 alpha=60.00 beta=60.00 gamma=60.00
Fractional positions:
1 Tb 0.0000 0.0000 0.0000
2 Zn 0.3765 0.3765 0.3765
3 Zn 0.3765 0.3765 0.8705
4 Zn 0.3765 0.8705 0.3765
5 Zn 0.8705 0.3765 0.3765
6 Ru 0.7500 0.7500 0.7500

Values from the calculation:
Symmetry ... F-43m, No. 216
ΔH_f (0 K) ... -0.284 eV per atom